CsYGe | PBE | relaxed

Unit cell a=12.6534 b=6.9035 c=8.2511 alpha=90.00 beta=90.00 gamma=90.00
Space group Pnma (No. 62)
Unique sites:
Cs1 0.1436 0.2500 0.0178 [4 per cell]
Y1 0.0000 0.0000 0.5000 [4 per cell]
Ge1 0.0960 0.7500 0.2832 [4 per cell]

density of states at the Fermi level	0.75	states/eV/atom
ΔH_f (0 K)	372.3	meV/atom
E above lowest polymorph	0.7443	eV per atom
calculated total energy	-43.27	eV for the cell shown
spin magnetization	3.04	μB/cell